Here is a relaxed Na4NiPd3O8 crystal from Alexandria via LeMat-Bulk. Energies are from PBE with a Hubbard U.

Cell lengths 6.5802, 6.5802, 6.2561 Å; angles 118.36, 118.36, 55.52 degrees
Closest atoms and distances in Å follow each position.
Fractional coordinates of all 16 atoms:
Na  0.0000  0.0000  0.0000  6 O 2.21-2.41
Na  0.0000  0.5000  0.5000  4 O 2.32-2.37
Na  0.5000  0.0000  0.5000  4 O 2.32-2.37
Na  0.5000  0.5000  0.0000  6 O 2.37-2.56
Ni  0.0000  0.0000  0.5000  4 O 2.09
Pd  0.0000  0.5000  0.0000  6 O 2.05-2.10
Pd  0.5000  0.0000  0.0000  6 O 2.05-2.10
Pd  0.5000  0.5000  0.5000  4 O 2.04
O  0.2172  0.7066  0.2493  2 Pd 2.04-2.10, 1 Ni 2.09
O  0.2234  0.2234  0.1870  2 Pd 2.05, 1 Na 2.21
O  0.2404  0.2404  0.7691  2 Pd 2.07
O  0.2934  0.7828  0.7507  2 Pd 2.04-2.10, 1 Ni 2.09
O  0.7066  0.2172  0.2493  2 Pd 2.04-2.10, 1 Ni 2.09
O  0.7596  0.7596  0.2309  2 Pd 2.07
O  0.7766  0.7766  0.8130  2 Pd 2.05, 1 Na 2.21
O  0.7828  0.2934  0.7507  2 Pd 2.04-2.10, 1 Ni 2.09

As for the density of states at the Fermi level: 1.56 states/eV per cell. For the total energy, the calculation gives -78.59 eV for the cell shown.